No. 1
This record from Alexandria describes a relaxed Mg4CuHg2 crystal. The functional is GGA-PBE.

The structure in CIF format:
```
data_Mg4CuHg2
_chemical_formula_sum 'Mg12 Cu3 Hg6'
_space_group_name_H-M_alt 'R -3 m'
_space_group_IT_number 166
_space_group_name_Hall '-R 3 2"'
_cell_length_a 4.6954
_cell_length_b 4.6954
_cell_length_c 23.0571
_cell_angle_alpha 90.00
_cell_angle_beta 90.00
_cell_angle_gamma 120.00
loop_
_atom_site_label
_atom_site_type_symbol
_atom_site_fract_x
_atom_site_fract_y
_atom_site_fract_z
Mg1 Mg 0.0000 0.0000 0.1245
Mg2 Mg 0.0000 0.0000 0.3744
Cu1 Cu 0.0000 0.0000 0.0000
Hg1 Hg 0.0000 0.0000 0.2492
```

Results
- ΔE_f: -0.97 eV/f.u.
- DOS(E_F): 0.3371 states/eV per atom

No. 2
This record from Alexandria describes a relaxed Mg2CuHg crystal. The functional is GGA-PBE.

The structure in CIF format:
```
data_Mg2CuHg
_chemical_formula_sum 'Mg6 Cu3 Hg3'
_space_group_name_H-M_alt 'R -3 m'
_space_group_IT_number 166
_space_group_name_Hall '-R 3 2"'
_cell_length_a 3.3175
_cell_length_b 3.3175
_cell_length_c 25.3270
_cell_angle_alpha 90.00
_cell_angle_beta 90.00
_cell_angle_gamma 120.00
loop_
_atom_site_label
_atom_site_type_symbol
_atom_site_fract_x
_atom_site_fract_y
_atom_site_fract_z
Mg1 Mg 0.0000 0.0000 0.2428
Cu1 Cu 0.0000 0.0000 0.5000
Hg1 Hg 0.0000 0.0000 0.0000
```

Results
- ΔE_f: 0.09 eV/f.u.
- DOS(E_F): 0.5115 states/eV per atom

No. 3
This record from Alexandria describes a relaxed MgCu2Hg crystal. The functional is GGA-PBE.

The structure in CIF format:
```
data_MgCu2Hg
_chemical_formula_sum 'Mg1 Cu2 Hg1'
_space_group_name_H-M_alt 'P 4 m m'
_space_group_IT_number 99
_cell_length_a 3.2025
_cell_length_b 3.2025
_cell_length_c 6.3596
_cell_angle_alpha 90.00
_cell_angle_beta 90.00
_cell_angle_gamma 90.00
loop_
_space_group_symop_operation_xyz
'x,y,z'
'-y,x,z'
'-x,-y,z'
'y,-x,z'
'-x,y,z'
'y,x,z'
'x,-y,z'
'-y,-x,z'
loop_
_atom_site_label
_atom_site_type_symbol
_atom_site_fract_x
_atom_site_fract_y
_atom_site_fract_z
Mg1 Mg 0.0000 0.0000 0.0000
Cu1 Cu 0.0000 0.0000 0.4273
Cu2 Cu 0.5000 0.5000 0.2465
Hg1 Hg 0.5000 0.5000 0.6943
```

Results
- ΔE_f: -0.09 eV/f.u.
- DOS(E_F): 0.3442 states/eV per atom